Record 1
# AsRu2Br | Alexandria via LeMat-Bulk | GGA-PBE | relaxed
data_AsRu2Br
_symmetry_space_group_name_H-M 'I -4 2 d'
_symmetry_Int_Tables_number 122
_symmetry_space_group_name_Hall 'I -4 2bw'
_cell_length_a 5.519
_cell_length_b 5.519
_cell_length_c 11.316
_cell_angle_alpha 90.00
_cell_angle_beta 90.00
_cell_angle_gamma 90.00
loop_
_atom_site_label
_atom_site_type_symbol
_atom_site_fract_x
_atom_site_fract_y
_atom_site_fract_z
As1 As 0.000 0.000 0.000
Ru1 Ru 0.230 0.250 0.125
Br1 Br 0.000 0.000 0.500
# - Total moment: 0.00 μB per atom
# - Offset from the most stable computed form: 337 meV/atom
# - Formation energy (no corrections): 0.530 eV/atom

=====

Record 2
# AsRuBr2 | Alexandria via LeMat-Bulk | GGA-PBE | relaxed
data_AsRuBr2
_symmetry_space_group_name_H-M 'C 1 m 1'
_symmetry_Int_Tables_number 8
_symmetry_space_group_name_Hall 'C -2y'
_cell_length_a 6.731
_cell_length_b 3.543
_cell_length_c 8.626
_cell_angle_alpha 90.00
_cell_angle_beta 91.97
_cell_angle_gamma 90.00
loop_
_atom_site_label
_atom_site_type_symbol
_atom_site_fract_x
_atom_site_fract_y
_atom_site_fract_z
As1 As 0.000 0.000 0.000
Ru1 Ru 0.321 0.000 0.135
Br1 Br 0.152 0.500 0.322
Br2 Br 0.481 0.500 0.728
# - Total moment: 0.26 μB per atom
# - Offset from the most stable computed form: 0 meV/atom
# - Formation energy (no corrections): -0.133 eV/atom

=====

Record 3
# AsRuBr2 | Alexandria via LeMat-Bulk | GGA-PBE | relaxed
data_AsRuBr2
_symmetry_space_group_name_H-M 'R -3 m'
_symmetry_Int_Tables_number 166
_symmetry_space_group_name_Hall '-R 3 2"'
_cell_length_a 3.1698
_cell_length_b 3.1698
_cell_length_c 29.1330
_cell_angle_alpha 90.00
_cell_angle_beta 90.00
_cell_angle_gamma 120.00
loop_
_atom_site_label
_atom_site_type_symbol
_atom_site_fract_x
_atom_site_fract_y
_atom_site_fract_z
As1 As 0.0000 0.0000 0.0000
Ru1 Ru 0.0000 0.0000 0.5000
Br1 Br 0.0000 0.0000 0.4188
# - Total moment: 0.00 μB per atom
# - Offset from the most stable computed form: 857 meV/atom
# - Formation energy (no corrections): 0.724 eV/atom

=====

Record 4
# AsRuBr2 | Alexandria via LeMat-Bulk | GGA-PBE | relaxed
data_AsRuBr2
_symmetry_space_group_name_H-M 'P 4 m m'
_symmetry_Int_Tables_number 99
_symmetry_space_group_name_Hall 'P 4 -2'
_cell_length_a 3.501
_cell_length_b 3.501
_cell_length_c 7.797
_cell_angle_alpha 90.00
_cell_angle_beta 90.00
_cell_angle_gamma 90.00
loop_
_atom_site_label
_atom_site_type_symbol
_atom_site_fract_x
_atom_site_fract_y
_atom_site_fract_z
As1 As 0.000 0.000 0.000
Ru1 Ru 0.500 0.500 0.890
Br1 Br 0.000 0.000 0.656
Br2 Br 0.500 0.500 0.228
# - Total moment: 0.26 μB per atom
# - Offset from the most stable computed form: 380 meV/atom
# - Formation energy (no corrections): 0.248 eV/atom

=====

Record 5
# AsRuBr2 | Alexandria via LeMat-Bulk | GGA-PBE | relaxed
data_AsRuBr2
_symmetry_space_group_name_H-M 'P m m m'
_symmetry_Int_Tables_number 47
_symmetry_space_group_name_Hall '-P 2 2'
_cell_length_a 3.182
_cell_length_b 4.467
_cell_length_c 5.850
_cell_angle_alpha 90.00
_cell_angle_beta 90.00
_cell_angle_gamma 90.00
loop_
_atom_site_label
_atom_site_type_symbol
_atom_site_fract_x
_atom_site_fract_y
_atom_site_fract_z
As1 As 0.000 0.000 0.000
Ru1 Ru 0.500 0.000 0.500
Br1 Br 0.000 0.500 0.500
Br2 Br 0.500 0.500 0.000
# - Total moment: 0.34 μB per atom
# - Offset from the most stable computed form: 934 meV/atom
# - Formation energy (no corrections): 0.801 eV/atom

=====

Record 6
# AsRuBr2 | Alexandria via LeMat-Bulk | GGA-PBE | relaxed
data_AsRuBr2
_symmetry_space_group_name_H-M 'F -4 3 m'
_symmetry_Int_Tables_number 216
_symmetry_space_group_name_Hall 'F -4 2 3'
_cell_length_a 6.792
_cell_length_b 6.792
_cell_length_c 6.792
_cell_angle_alpha 90.00
_cell_angle_beta 90.00
_cell_angle_gamma 90.00
loop_
_atom_site_label
_atom_site_type_symbol
_atom_site_fract_x
_atom_site_fract_y
_atom_site_fract_z
As1 As 0.000 0.000 0.000
Ru1 Ru 0.250 0.250 0.750
Br1 Br 0.000 0.000 0.500
Br2 Br 0.250 0.250 0.250
# - Total moment: 0.25 μB per atom
# - Offset from the most stable computed form: 997 meV/atom
# - Formation energy (no corrections): 0.864 eV/atom

=====

Record 7
# AsRu2Br | Alexandria via LeMat-Bulk | GGA-PBE | relaxed
data_AsRu2Br
_symmetry_space_group_name_H-M 'I -4 m 2'
_symmetry_Int_Tables_number 119
_symmetry_space_group_name_Hall 'I -4 -2'
_cell_length_a 3.720
_cell_length_b 3.720
_cell_length_c 9.281
_cell_angle_alpha 90.00
_cell_angle_beta 90.00
_cell_angle_gamma 90.00
loop_
_atom_site_label
_atom_site_type_symbol
_atom_site_fract_x
_atom_site_fract_y
_atom_site_fract_z
As1 As 0.000 0.000 0.000
Ru1 Ru 0.000 0.000 0.500
Ru2 Ru 0.000 0.500 0.250
Br1 Br 0.000 0.500 0.750
# - Total moment: 0.00 μB per atom
# - Offset from the most stable computed form: 609 meV/atom
# - Formation energy (no corrections): 0.802 eV/atom

=====

Record 8
# AsRu2Br | Alexandria via LeMat-Bulk | GGA-PBE | relaxed
data_AsRu2Br
_symmetry_space_group_name_H-M 'C m m m'
_symmetry_Int_Tables_number 65
_symmetry_space_group_name_Hall '-C 2 2'
_cell_length_a 3.048
_cell_length_b 5.432
_cell_length_c 8.259
_cell_angle_alpha 90.00
_cell_angle_beta 90.00
_cell_angle_gamma 90.00
loop_
_atom_site_label
_atom_site_type_symbol
_atom_site_fract_x
_atom_site_fract_y
_atom_site_fract_z
As1 As 0.000 0.000 0.000
Ru1 Ru 0.000 0.500 0.224
Br1 Br 0.000 0.000 0.500
# - Total moment: 0.00 μB per atom
# - Offset from the most stable computed form: 371 meV/atom
# - Formation energy (no corrections): 0.564 eV/atom

=====

Record 9
# AsRuBr2 | Alexandria via LeMat-Bulk | GGA-PBE | relaxed
data_AsRuBr2
_symmetry_space_group_name_H-M 'I m m 2'
_symmetry_Int_Tables_number 44
_symmetry_space_group_name_Hall 'I 2 -2'
_cell_length_a 3.172
_cell_length_b 4.800
_cell_length_c 12.219
_cell_angle_alpha 90.00
_cell_angle_beta 90.00
_cell_angle_gamma 90.00
loop_
_atom_site_label
_atom_site_type_symbol
_atom_site_fract_x
_atom_site_fract_y
_atom_site_fract_z
As1 As 0.000 0.000 0.000
Ru1 Ru 0.000 0.500 0.647
Br1 Br 0.000 0.000 0.341
Br2 Br 0.000 0.500 0.141
# - Total moment: 0.00 μB per atom
# - Offset from the most stable computed form: 372 meV/atom
# - Formation energy (no corrections): 0.240 eV/atom

=====

Record 10
# AsRuBr2 | Alexandria via LeMat-Bulk | GGA-PBE | relaxed
data_AsRuBr2
_symmetry_space_group_name_H-M 'C m m m'
_symmetry_Int_Tables_number 65
_symmetry_space_group_name_Hall '-C 2 2'
_cell_length_a 6.770
_cell_length_b 6.777
_cell_length_c 3.345
_cell_angle_alpha 90.00
_cell_angle_beta 90.00
_cell_angle_gamma 90.00
loop_
_atom_site_label
_atom_site_type_symbol
_atom_site_fract_x
_atom_site_fract_y
_atom_site_fract_z
As1 As 0.000 0.000 0.000
Ru1 Ru 0.000 0.500 0.000
Br1 Br 0.250 0.250 0.500
# - Total moment: 0.00 μB per atom
# - Offset from the most stable computed form: 1093 meV/atom
# - Formation energy (no corrections): 0.961 eV/atom

=====

Record 11
# AsRuBr2 | Alexandria via LeMat-Bulk | GGA-PBE | relaxed
data_AsRuBr2
_symmetry_space_group_name_H-M 'R 3 m'
_symmetry_Int_Tables_number 160
_symmetry_space_group_name_Hall 'R 3 -2"'
_cell_length_a 3.5650
_cell_length_b 3.5650
_cell_length_c 26.4084
_cell_angle_alpha 90.00
_cell_angle_beta 90.00
_cell_angle_gamma 120.00
loop_
_atom_site_label
_atom_site_type_symbol
_atom_site_fract_x
_atom_site_fract_y
_atom_site_fract_z
As1 As 0.0000 0.0000 0.0000
Ru1 Ru 0.0000 0.0000 0.7157
Br1 Br 0.0000 0.0000 0.2538
Br2 Br 0.0000 0.0000 0.4488
# - Total moment: 0.26 μB per atom
# - Offset from the most stable computed form: 203 meV/atom
# - Formation energy (no corrections): 0.071 eV/atom

=====

Record 12
# AsRuBr2 | Alexandria via LeMat-Bulk | GGA-PBE | relaxed
data_AsRuBr2
_symmetry_space_group_name_H-M 'C 1 2/m 1'
_symmetry_Int_Tables_number 12
_symmetry_space_group_name_Hall '-C 2y'
_cell_length_a 5.707
_cell_length_b 8.722
_cell_length_c 4.369
_cell_angle_alpha 90.00
_cell_angle_beta 130.56
_cell_angle_gamma 90.00
loop_
_atom_site_label
_atom_site_type_symbol
_atom_site_fract_x
_atom_site_fract_y
_atom_site_fract_z
As1 As 0.000 0.000 0.000
Ru1 Ru 0.000 0.500 0.000
Br1 Br 0.250 0.250 0.500
# - Total moment: 0.00 μB per atom
# - Offset from the most stable computed form: 876 meV/atom
# - Formation energy (no corrections): 0.744 eV/atom

=====

Record 13
# AsRu2Br | Alexandria via LeMat-Bulk | GGA-PBE | relaxed
data_AsRu2Br
_symmetry_space_group_name_H-M 'F -4 3 m'
_symmetry_Int_Tables_number 216
_symmetry_space_group_name_Hall 'F -4 2 3'
_cell_length_a 6.421
_cell_length_b 6.421
_cell_length_c 6.421
_cell_angle_alpha 90.00
_cell_angle_beta 90.00
_cell_angle_gamma 90.00
loop_
_atom_site_label
_atom_site_type_symbol
_atom_site_fract_x
_atom_site_fract_y
_atom_site_fract_z
As1 As 0.000 0.000 0.000
Ru1 Ru 0.000 0.000 0.500
Ru2 Ru 0.250 0.250 0.750
Br1 Br 0.250 0.250 0.250
# - Total moment: 0.00 μB per atom
# - Offset from the most stable computed form: 775 meV/atom
# - Formation energy (no corrections): 0.968 eV/atom

=====

Record 14
# AsRu2Br | Alexandria via LeMat-Bulk | GGA-PBE | relaxed
data_AsRu2Br
_symmetry_space_group_name_H-M 'P m m m'
_symmetry_Int_Tables_number 47
_symmetry_space_group_name_Hall '-P 2 2'
_cell_length_a 2.967
_cell_length_b 4.149
_cell_length_c 5.459
_cell_angle_alpha 90.00
_cell_angle_beta 90.00
_cell_angle_gamma 90.00
loop_
_atom_site_label
_atom_site_type_symbol
_atom_site_fract_x
_atom_site_fract_y
_atom_site_fract_z
As1 As 0.000 0.000 0.000
Ru1 Ru 0.000 0.500 0.500
Ru2 Ru 0.500 0.500 0.000
Br1 Br 0.500 0.000 0.500
# - Total moment: 0.00 μB per atom
# - Offset from the most stable computed form: 549 meV/atom
# - Formation energy (no corrections): 0.742 eV/atom

=====

Record 15
# AsRu2Br | Alexandria via LeMat-Bulk | GGA-PBE | relaxed
data_AsRu2Br
_symmetry_space_group_name_H-M 'P 1 m 1'
_symmetry_Int_Tables_number 6
_symmetry_space_group_name_Hall 'P -2y'
_cell_length_a 3.103
_cell_length_b 4.217
_cell_length_c 6.692
_cell_angle_alpha 90.00
_cell_angle_beta 95.57
_cell_angle_gamma 90.00
loop_
_atom_site_label
_atom_site_type_symbol
_atom_site_fract_x
_atom_site_fract_y
_atom_site_fract_z
As1 As 0.000 0.000 0.000
Ru1 Ru 0.445 0.000 0.704
Ru2 Ru 0.957 0.500 0.824
Br1 Br 0.584 0.500 0.478
# - Total moment: 0.00 μB per atom
# - Offset from the most stable computed form: 88 meV/atom
# - Formation energy (no corrections): 0.281 eV/atom